1.
Computed, not measured: Y2IrPdRh after structural relaxation at the PBE-GGA level of DFT.

The calculation puts the density of states at the Fermi level at 6.63 states/eV/f.u. For the energy of formation from the pure elements, the calculation gives 2.341 eV per formula unit. The total magnetization comes out at 0.00 μB/f.u. The symmetry is P4/mmm.

Unit cell a=5.1987 b=4.6581 c=5.1987 alpha=90.00 beta=90.00 gamma=90.00
Positions (direct):
Rh1 0.0000 0.5000 0.0000
Pd1 0.0000 0.0000 0.0000
Ir1 0.5000 0.5000 0.5000
Y1 0.0000 0.0000 0.5000
Y2 0.5000 0.0000 0.0000

=====

2.
Computed, not measured: Pm5HoSn4 after structural relaxation at the PBE-GGA level of DFT.

The calculation puts the density of states at the Fermi level at 6.48 states/eV/f.u. For the energy of formation from the pure elements, the calculation gives -5.501 eV per formula unit. The total magnetization comes out at 0.00 μB/f.u. The symmetry is C2/m.

Unit cell a=5.3823 b=7.2504 c=11.2380 alpha=129.63 beta=103.86 gamma=90.00
Positions (direct):
Sn1 0.3261 0.9009 0.6522
Pm1 0.1669 0.3271 0.3337
Sn2 0.9920 0.7403 0.9841
Pm2 0.8331 0.6729 0.6663
Sn3 0.6739 0.0991 0.3478
Pm3 0.8343 0.1651 0.6685
Sn4 0.0080 0.2597 0.0159
Pm4 0.5000 0.5000 0.0000
Ho1 0.5000 0.0000 0.0000
Pm5 0.1657 0.8349 0.3315

=====

3.
Computed, not measured: SrAs2 after structural relaxation at the PBE-GGA level of DFT.

The calculation puts the density of states at the Fermi level at 2.42 states/eV/f.u. For the energy of formation from the pure elements, the calculation gives -0.252 eV per formula unit. The total magnetization comes out at 0.00 μB/f.u. The symmetry is Fm-3m.

Unit cell a=5.0342 b=5.0342 c=5.0342 alpha=60.00 beta=60.00 gamma=60.00
Positions (direct):
As1 0.2500 0.2500 0.2500
As2 0.7500 0.7500 0.7500
Sr1 0.0000 0.0000 0.0000

=====

4.
Computed, not measured: Cr4Se5 after structural relaxation at the PBE-GGA level of DFT.

The calculation puts the density of states at the Fermi level at 9.57 states/eV/f.u. The total magnetization comes out at 1.73 μB/f.u. The calculation puts the formation energy from raw total energies at 0.6457 eV per atom. The symmetry is I4/mmm. As for the relative energy among the computed polymorphs: 79.3 kJ/mol of atoms.

Unit cell a=7.0762 b=7.0762 c=7.0762 alpha=92.84 beta=92.84 gamma=154.29
Last column: magnetic moment on the atom in μB.
Positions (direct):
Cr1 0.3661 0.0000 0.3661  0.40
Se1 0.3295 0.6705 0.0000  0.00
Cr2 0.0000 0.6339 0.6339  0.40
Se2 0.6705 0.6705 0.3410  0.00
Cr3 0.0000 0.3661 0.3661  0.40
Cr4 0.6339 0.0000 0.6339  0.40
Se3 0.3295 0.3295 0.6590  0.00
Se4 0.6705 0.3295 0.0000  0.00
Se5 0.0000 0.0000 0.0000  -0.01

=====

5.
Computed, not measured: Mg3ZnHg4 after structural relaxation at the PBE-GGA level of DFT.

The calculation puts the density of states at the Fermi level at 2.13 states/eV/f.u. For the energy of formation from the pure elements, the calculation gives -1.084 eV per formula unit. The total magnetization comes out at 0.00 μB/f.u. The symmetry is C2/m.

Unit cell a=4.9708 b=4.9707 c=7.6286 alpha=108.02 beta=109.01 gamma=90.00
Positions (direct):
Hg1 0.3771 0.3749 0.7542
Hg2 0.8771 0.8790 0.7541
Zn1 0.5000 0.0000 0.0000
Mg1 0.2518 0.7500 0.5037
Hg3 0.1229 0.1210 0.2459
Mg2 0.7482 0.2500 0.4963
Mg3 0.0000 0.5000 0.0000
Hg4 0.6229 0.6251 0.2458

=====

6.
Computed, not measured: SrTlCr2Au after structural relaxation at the PBE-GGA level of DFT.

The calculation puts the density of states at the Fermi level at 3.50 states/eV/f.u. For the energy of formation from the pure elements, the calculation gives 4.697 eV per formula unit. The total magnetization comes out at 8.33 μB/f.u. The symmetry is P4/mmm.

Unit cell a=5.1730 b=6.2863 c=5.1730 alpha=90.00 beta=90.00 gamma=90.00
Last column: magnetic moment on the atom in μB.
Positions (direct):
Sr1 0.0000 0.5000 0.0000  -0.05
Au1 0.5000 0.5000 0.5000  0.00
Cr1 0.0000 0.0000 0.5000  4.00
Tl1 0.0000 0.0000 0.0000  -0.14
Cr2 0.5000 0.0000 0.0000  3.67

=====

7.
Computed, not measured: K2VInBr6 after structural relaxation at the PBE-GGA level of DFT.

The calculation puts the density of states at the Fermi level at 9.86 states/eV/f.u. The total magnetization comes out at 2.00 μB/f.u. The calculation puts the formation energy from raw total energies at -1.1553 eV per atom. The symmetry is R3.

Unit cell a=7.8918 b=7.8921 c=7.9369 alpha=60.18 beta=60.19 gamma=60.00
Last column: magnetic moment on the atom in μB.
Positions (direct):
K1 0.0331 0.0331 0.9007  0.00
Br1 0.1144 0.4517 0.7975  -0.02
Br2 0.1905 0.0132 0.2541  -0.02
V1 0.3225 0.3224 0.0327  1.94
In1 0.8159 0.8159 0.5524  -0.02
Br3 0.6365 0.1143 0.7975  -0.02
K2 0.5417 0.5418 0.3747  0.00
Br4 0.0132 0.5422 0.2541  -0.02
Br5 0.5422 0.1905 0.2541  -0.02
Br6 0.4517 0.6365 0.7975  -0.02

=====

8.
Computed, not measured: LiHoPbS3 after structural relaxation at the PBE-GGA level of DFT.

The calculation puts the density of states at the Fermi level at 0.00 states/eV/f.u. The total magnetization comes out at 0.00 μB/f.u. The calculation puts the formation energy from raw total energies at -1.3442 eV per atom. The symmetry is P2_1/m.

Unit cell a=3.9770 b=8.3029 c=8.5822 alpha=102.54 beta=90.00 gamma=90.00
Positions (direct):
Ho1 0.2500 0.6681 0.1673
S1 0.2500 0.7886 0.4861
S2 0.7500 0.8832 0.1303
Pb1 0.7500 0.8120 0.7664
S3 0.2500 0.5628 0.8374
Li1 0.7500 0.9165 0.4140
Ho2 0.7500 0.3319 0.8327
S4 0.7500 0.2114 0.5139
S5 0.7500 0.4372 0.1626
Li2 0.2500 0.0835 0.5860
Pb2 0.2500 0.1880 0.2336
S6 0.2500 0.1168 0.8697

=====

Q: Which formula does entry 5 have?
A: Mg3ZnHg4

=====

Q: Number 3 is which compound?
A: SrAs2